First-principles (PBE-GGA) data for a relaxed Cs2SrV crystal, as listed in Alexandria via LeMat-Bulk. Values from VASP.

Calculated values
As for the symmetry: No. 122. For the calculated formation energy, the calculation gives 3.98 eV per formula unit. As for the total energy: -17.06 eV per cell. The value obtained for the magnetization is 5.8 μB per formula unit.

Cell and atoms, written as Quantum ESPRESSO input:
```
&SYSTEM
  ibrav = 0, nat = 8, ntyp = 3
/
ATOMIC_SPECIES
Cs 132.91 Cs.upf
Sr 87.62 Sr.upf
V 50.94 V.upf
CELL_PARAMETERS angstrom
-5.9565 5.9565 3.2602
5.9565 -5.9565 3.2602
5.9565 5.9565 -3.2602
ATOMIC_POSITIONS angstrom
Cs 8.9348 1.8047 -0.8150
Cs 1.8047 2.9783 0.8150
Cs -2.9783 4.1518 2.4451
Cs 4.1518 2.9783 4.0752
Sr 5.9565 0.0000 1.6301
Sr 0.0000 0.0000 3.2602
V 0.0000 0.0000 0.0000
V 0.0000 5.9565 1.6301
```